A relaxed structure of CaZn2Rh. Source: Alexandria via LeMat-Bulk, functional PBE-GGA.

## Properties
VASP energy	-3.15	eV per atom

a = 4.640 Å, b = 4.640 Å, c = 4.640 Å
α = 60.00°, β = 60.00°, γ = 60.00°
Element x y z (fractional)
1 Zn 0.000 0.000 0.000
2 Zn 0.250 0.250 0.250
3 Ca 0.500 0.500 0.500
4 Rh 0.750 0.750 0.750